1.
An optimized crystal structure of ZrAl2Os. Source: Alexandria, functional PBE.

Structure (CIF):
```
data_ZrAl2Os
_chemical_formula_sum 'Zr2 Al4 Os2'
_cell_length_a 4.455
_cell_length_b 4.455
_cell_length_c 6.536
_cell_angle_alpha 90.00
_cell_angle_beta 90.00
_cell_angle_gamma 90.00
_space_group_name_H-M_alt 'I -4 m 2'
_space_group_IT_number 119
_space_group_name_Hall 'I -4 -2'
loop_
_atom_site_label
_atom_site_type_symbol
_atom_site_fract_x
_atom_site_fract_y
_atom_site_fract_z
Zr1 Zr 0.000 0.000 0.000
Al1 Al 0.000 0.000 0.500
Al2 Al 0.000 0.500 0.750
Os1 Os 0.000 0.500 0.250
```



2.
An optimized crystal structure of Zr2Al6Os. Source: Alexandria, functional PBE.

Structure (CIF):
```
data_Zr2Al6Os
_chemical_formula_sum 'Zr2 Al6 Os1'
_cell_length_a 5.5343
_cell_length_b 5.5343
_cell_length_c 5.9162
_cell_angle_alpha 90.00
_cell_angle_beta 90.00
_cell_angle_gamma 120.00
_space_group_name_H-M_alt 'P -3 m 1'
_space_group_IT_number 164
_space_group_name_Hall '-P 3 2"'
loop_
_atom_site_label
_atom_site_type_symbol
_atom_site_fract_x
_atom_site_fract_y
_atom_site_fract_z
Zr1 Zr 0.3333 0.6667 0.1091
Al1 Al 0.1719 0.3439 0.6831
Os1 Os 0.0000 0.0000 0.0000
```



3.
An optimized crystal structure of ZrAl2Os. Source: Alexandria, functional PBE.

Structure (CIF):
```
data_ZrAl2Os
_chemical_formula_sum 'Zr3 Al6 Os3'
_cell_length_a 2.9454
_cell_length_b 2.9454
_cell_length_c 27.2133
_cell_angle_alpha 90.00
_cell_angle_beta 90.00
_cell_angle_gamma 120.00
_space_group_name_H-M_alt 'R 3 m'
_space_group_IT_number 160
_space_group_name_Hall 'R 3 -2"'
loop_
_atom_site_label
_atom_site_type_symbol
_atom_site_fract_x
_atom_site_fract_y
_atom_site_fract_z
Zr1 Zr 0.0000 0.0000 0.0000
Al1 Al 0.0000 0.0000 0.5090
Al2 Al 0.0000 0.0000 0.7588
Os1 Os 0.0000 0.0000 0.2474
```



4.
An optimized crystal structure of ZrAl2Os. Source: Alexandria, functional PBE.

Structure (CIF):
```
data_ZrAl2Os
_chemical_formula_sum 'Zr1 Al2 Os1'
_cell_length_a 3.973
_cell_length_b 3.973
_cell_length_c 4.179
_cell_angle_alpha 90.00
_cell_angle_beta 90.00
_cell_angle_gamma 90.00
_space_group_name_H-M_alt 'P 4/m m m'
_space_group_IT_number 123
_space_group_name_Hall '-P 4 2'
loop_
_atom_site_label
_atom_site_type_symbol
_atom_site_fract_x
_atom_site_fract_y
_atom_site_fract_z
Zr1 Zr 0.000 0.000 0.000
Al1 Al 0.000 0.500 0.500
Os1 Os 0.500 0.500 0.000
```



5.
An optimized crystal structure of ZrAl2Os. Source: Alexandria, functional PBE.

Structure (CIF):
```
data_ZrAl2Os
_chemical_formula_sum 'Zr1 Al2 Os1'
_cell_length_a 3.081
_cell_length_b 3.081
_cell_length_c 6.962
_cell_angle_alpha 90.00
_cell_angle_beta 90.00
_cell_angle_gamma 90.00
_space_group_name_H-M_alt 'P 4/m m m'
_space_group_IT_number 123
_space_group_name_Hall '-P 4 2'
loop_
_atom_site_label
_atom_site_type_symbol
_atom_site_fract_x
_atom_site_fract_y
_atom_site_fract_z
Zr1 Zr 0.000 0.000 0.000
Al1 Al 0.500 0.500 0.300
Os1 Os 0.000 0.000 0.500
```



6.
# ZrAl2Os2 (PBE, relaxed)
# relative energy among the computed polymorphs = 67 meV/atom
data_ZrAl2Os2
_chemical_formula_sum 'Zr2 Al4 Os4'
_cell_length_a 3.545
_cell_length_b 3.545
_cell_length_c 13.265
_cell_angle_alpha 90.00
_cell_angle_beta 90.00
_cell_angle_gamma 90.00
_space_group_name_H-M_alt 'I 4/m m m'
_space_group_IT_number 139
_space_group_name_Hall '-I 4 2'
loop_
_atom_site_label
_atom_site_type_symbol
_atom_site_fract_x
_atom_site_fract_y
_atom_site_fract_z
Zr1 Zr 0.000 0.000 0.000
Al1 Al 0.000 0.500 0.250
Os1 Os 0.000 0.000 0.391



7.
An optimized crystal structure of Zr5AlOs4. Source: Alexandria, functional PBE.

Structure (CIF):
```
data_Zr5AlOs4
_chemical_formula_sum 'Zr5 Al1 Os4'
_cell_length_a 3.277
_cell_length_b 3.277
_cell_length_c 16.835
_cell_angle_alpha 90.00
_cell_angle_beta 90.00
_cell_angle_gamma 90.00
_space_group_name_H-M_alt 'P 4/m m m'
_space_group_IT_number 123
_space_group_name_Hall '-P 4 2'
loop_
_atom_site_label
_atom_site_type_symbol
_atom_site_fract_x
_atom_site_fract_y
_atom_site_fract_z
Zr1 Zr 0.000 0.000 0.000
Zr2 Zr 0.000 0.000 0.196
Zr3 Zr 0.000 0.000 0.390
Al1 Al 0.500 0.500 0.500
Os1 Os 0.500 0.500 0.098
Os2 Os 0.500 0.500 0.294
```



8.
An optimized crystal structure of Zr2AlOs2. Source: Alexandria, functional PBE.

Structure (CIF):
```
data_Zr2AlOs2
_chemical_formula_sum 'Zr4 Al2 Os4'
_cell_length_a 6.581
_cell_length_b 6.581
_cell_length_c 4.267
_cell_angle_alpha 90.00
_cell_angle_beta 90.00
_cell_angle_gamma 90.00
_space_group_name_H-M_alt 'P 4/m b m'
_space_group_IT_number 127
_space_group_name_Hall '-P 4 2ab'
loop_
_atom_site_label
_atom_site_type_symbol
_atom_site_fract_x
_atom_site_fract_y
_atom_site_fract_z
Zr1 Zr 0.183 0.317 0.000
Al1 Al 0.000 0.000 0.500
Os1 Os 0.134 0.634 0.500
```



9.
An optimized crystal structure of ZrAl2Os. Source: Alexandria, functional PBE.

Structure (CIF):
```
data_ZrAl2Os
_chemical_formula_sum 'Zr2 Al4 Os2'
_cell_length_a 3.163
_cell_length_b 4.824
_cell_length_c 8.878
_cell_angle_alpha 90.00
_cell_angle_beta 90.00
_cell_angle_gamma 90.00
_space_group_name_H-M_alt 'C m m m'
_space_group_IT_number 65
_space_group_name_Hall '-C 2 2'
loop_
_atom_site_label
_atom_site_type_symbol
_atom_site_fract_x
_atom_site_fract_y
_atom_site_fract_z
Zr1 Zr 0.000 0.000 0.000
Al1 Al 0.000 0.500 0.278
Os1 Os 0.000 0.000 0.500
```



10.
An optimized crystal structure of ZrAl2Os. Source: Alexandria, functional PBE.

Structure (CIF):
```
data_ZrAl2Os
_chemical_formula_sum 'Zr1 Al2 Os1'
_cell_length_a 3.185
_cell_length_b 3.185
_cell_length_c 6.548
_cell_angle_alpha 90.00
_cell_angle_beta 90.00
_cell_angle_gamma 90.00
_space_group_name_H-M_alt 'P 4 m m'
_space_group_IT_number 99
_space_group_name_Hall 'P 4 -2'
loop_
_atom_site_label
_atom_site_type_symbol
_atom_site_fract_x
_atom_site_fract_y
_atom_site_fract_z
Zr1 Zr 0.000 0.000 0.000
Al1 Al 0.000 0.000 0.538
Al2 Al 0.500 0.500 0.297
Os1 Os 0.500 0.500 0.730
```



11.
# Zr2Al2Os (PBE, relaxed)
# relative energy among the computed polymorphs = 0 meV/atom
data_Zr2Al2Os
_chemical_formula_sum 'Zr4 Al4 Os2'
_cell_length_a 6.806
_cell_length_b 6.806
_cell_length_c 3.872
_cell_angle_alpha 90.00
_cell_angle_beta 90.00
_cell_angle_gamma 90.00
_space_group_name_H-M_alt 'P 4/m b m'
_space_group_IT_number 127
_space_group_name_Hall '-P 4 2ab'
loop_
_atom_site_label
_atom_site_type_symbol
_atom_site_fract_x
_atom_site_fract_y
_atom_site_fract_z
Zr1 Zr 0.171 0.329 0.000
Al1 Al 0.133 0.633 0.500
Os1 Os 0.000 0.000 0.500



12.
An optimized crystal structure of ZrAl2Os. Source: Alexandria, functional PBE.

Structure (CIF):
```
data_ZrAl2Os
_chemical_formula_sum 'Zr2 Al4 Os2'
_cell_length_a 3.170
_cell_length_b 4.848
_cell_length_c 8.882
_cell_angle_alpha 90.00
_cell_angle_beta 90.00
_cell_angle_gamma 90.00
_space_group_name_H-M_alt 'C m m 2'
_space_group_IT_number 35
_space_group_name_Hall 'C 2 -2'
loop_
_atom_site_label
_atom_site_type_symbol
_atom_site_fract_x
_atom_site_fract_y
_atom_site_fract_z
Zr1 Zr 0.000 0.000 0.000
Al1 Al 0.000 0.000 0.525
Al2 Al 0.000 0.500 0.274
Os1 Os 0.000 0.500 0.744
```



no.,energy relative to the elements (eV per atom)
1,-0.43
2,-0.38
3,-0.06
4,-0.39
5,-0.43
6,-0.26
7,-0.48
8,-0.30
9,-0.11
10,-0.44
11,-0.42
12,-0.02